No. 1
Mg2BeMo | GGA-PBE | optimized geometry

Structure (POSCAR):
```
Mg2BeMo
1.0
5.399 -0.002 0.002
4.626 2.783 0.002
1.873 0.520 4.060
Be Mo Mg
1 1 2
Cartesian
2.974 0.825 1.016
8.923 2.476 3.047
9.781 2.714 0.124
6.192 1.718 1.911
```

**ΔH_f (0 K)**: 1.32 eV per formula unit
**D(E_F)**: 0.9 states/eV/cell
**VASP energy**: -16.43 eV per cell
**Size of the total moment**: 0.00 μB/cell

No. 2
Mg2BeMo | GGA-PBE | optimized geometry

Structure (POSCAR):
```
Mg2BeMo
1.0
3.128 0.000 0.000
0.000 4.402 0.000
0.000 0.000 4.515
Be Mo Mg
1 1 2
Cartesian
0.000 2.201 2.258
1.564 0.000 2.258
0.000 0.000 0.000
1.564 2.201 0.000
```

**ΔH_f (0 K)**: 1.71 eV per formula unit
**D(E_F)**: 2.3 states/eV/cell
**VASP energy**: -16.04 eV per cell
**Size of the total moment**: 0.00 μB/cell

No. 3
Mg2BeMo | GGA-PBE | optimized geometry

Structure (POSCAR):
```
Mg2BeMo
1.0
-0.012 2.065 1.868
-2.699 -0.684 -0.002
1.423 -5.627 6.232
Be Mo Mg
1 1 2
Cartesian
-0.313 -3.432 5.499
0.763 -3.017 3.341
1.365 -5.396 5.976
-0.968 -0.843 2.631
```

**ΔH_f (0 K)**: 0.98 eV per formula unit
**D(E_F)**: 1.3 states/eV/cell
**VASP energy**: -16.76 eV per cell
**Size of the total moment**: 0.00 μB/cell

No. 4
Mg2BeMo | GGA-PBE | optimized geometry

Structure (POSCAR):
```
Mg2BeMo
1.0
-9.245 0.383 -1.461
-8.829 -2.393 -2.018
-9.219 -1.517 0.678
Be Mo Mg
1 1 2
Cartesian
-6.823 -0.882 -0.700
-20.469 -2.646 -2.101
-27.172 -3.512 -2.789
-13.766 -1.779 -1.413
```

**ΔH_f (0 K)**: 2.07 eV per formula unit
**D(E_F)**: 4.1 states/eV/cell
**VASP energy**: -15.68 eV per cell
**Size of the total moment**: 0.00 μB/cell

No. 5
Mg2BeMoN4 | GGA-PBE | optimized geometry

Structure (POSCAR):
```
Mg2BeMoN4
1.0
-3.150 3.704 1.474
1.282 -1.088 5.474
4.806 4.202 -0.291
Mg Be Mo N
4 2 2 8
Cartesian
0.087 2.503 2.448
2.487 4.601 2.303
1.354 6.084 4.911
-1.053 3.980 5.057
2.607 1.930 0.752
-0.508 0.949 5.318
1.919 3.025 5.213
-2.943 3.527 2.319
-0.982 1.206 1.204
0.815 4.338 5.927
1.491 3.233 1.132
-1.564 2.201 5.956
3.220 3.930 4.147
-1.240 4.089 2.972
1.128 6.160 2.829
0.782 1.798 4.295
```

**D(E_F)**: 0.0 states/eV/cell
**Formation energy (no corrections)**: -5.985 eV/f.u.
**VASP energy**: -114.07 eV per cell
**Size of the total moment**: 0.00 μB/cell

Which of these has the lowest D(E_F)? Mg2BeMoN4